Entry 1:
# TaFeOs2

A relaxed structure of TaFeOs2 (GGA-PBEsol, Alexandria).

abc: 3.7928 3.8430 3.8430
angles: 90.00 90.00 90.00
Last column: magnetic moment on the atom in μB.
Fractional positions:
Os: 0.0000 0.5000 0.0000  0.02
Os: 0.0000 0.0000 0.5000  0.02
Ta: 0.5000 0.5000 0.5000  -0.09
Fe: 0.5000 0.0000 0.0000  1.61

Computed properties:
Energy in eV/atom: -11.586
Formation energy in eV/atom: -0.10
ρ in g cm⁻³: 18.30

Entry 2:
# ZnRe2Br

A relaxed structure of ZnRe2Br (GGA-PBEsol, Alexandria).

abc: 2.9708 2.9708 7.8708
angles: 90.00 90.00 90.00
Fractional positions:
Br: 0.5000 0.5000 0.7930
Re: 0.5000 0.5000 0.2303
Re: 0.0000 0.0000 0.0362
Zn: 0.0000 0.0000 0.4405

Computed properties:
Energy in eV/atom: -7.152
ρ in g cm⁻³: 12.38

Entry 3:
# SrTe2S

A relaxed structure of SrTe2S (GGA-PBEsol, Alexandria).

abc: 6.2389 6.2389 9.0541
angles: 110.15 110.15 90.00
Fractional positions:
Te: 0.1250 0.2237 0.7500
Te: 0.7763 0.3750 0.2500
Te: 0.4737 0.8750 0.2500
Te: 0.6250 0.5263 0.7500
S: 0.5000 0.5000 0.0000
S: 0.7500 0.2500 0.5000
Sr: 0.0000 0.0000 0.0000
Sr: 0.2500 0.7500 0.5000

Computed properties:
Energy in eV/atom: -3.722
ρ in g cm⁻³: 4.05

Entry 4:
# Sr3CrN4

A relaxed structure of Sr3CrN4 (GGA-PBEsol, Alexandria).

abc: 9.4762 10.1148 11.1555
angles: 90.00 90.00 90.00
Fractional positions:
N: 0.2850 0.2681 0.6730
N: 0.8118 0.9977 0.5323
N: 0.5666 0.6535 0.9898
N: 0.6201 0.0010 0.7207
N: 0.7850 0.7319 0.8270
N: 0.3118 0.5023 0.5323
N: 0.1882 0.0023 0.4677
N: 0.8799 0.0010 0.2207
N: 0.0666 0.3465 0.5102
N: 0.7150 0.7319 0.3270
N: 0.2150 0.2681 0.1730
N: 0.3799 0.9990 0.2793
N: 0.6882 0.9977 0.0323
N: 0.9334 0.6535 0.4898
N: 0.3799 0.4990 0.2207
N: 0.4334 0.8465 0.4898
N: 0.8799 0.5010 0.2793
N: 0.0666 0.8465 0.9898
N: 0.6882 0.4977 0.4677
N: 0.3118 0.0023 0.9677
N: 0.2150 0.7681 0.3270
N: 0.2850 0.7681 0.8270
N: 0.6201 0.5010 0.7793
N: 0.1882 0.5023 0.0323
N: 0.1201 0.4990 0.7207
N: 0.8118 0.4977 0.9677
N: 0.1201 0.9990 0.7793
N: 0.4334 0.3465 0.0102
N: 0.7150 0.2319 0.1730
N: 0.9334 0.1535 0.0102
N: 0.7850 0.2319 0.6730
N: 0.5666 0.1535 0.5102
Sr: 0.3716 0.5265 0.8551
Sr: 0.4717 0.6286 0.3938
Sr: 0.1966 0.7178 0.6133
Sr: 0.9717 0.3714 0.1062
Sr: 0.3716 0.0265 0.6449
Sr: 0.8034 0.7822 0.1133
Sr: 0.5283 0.8714 0.8938
Sr: 0.6966 0.2822 0.8867
Sr: 0.4717 0.1286 0.1062
Sr: 0.9717 0.8714 0.3938
Sr: 0.1284 0.5265 0.3551
Sr: 0.8716 0.9735 0.8551
Sr: 0.3034 0.2178 0.3867
Sr: 0.6284 0.4735 0.1449
Sr: 0.1966 0.2178 0.8867
Sr: 0.3034 0.7178 0.1133
Sr: 0.0283 0.1286 0.6062
Sr: 0.8716 0.4735 0.6449
Sr: 0.1284 0.0265 0.1449
Sr: 0.0283 0.6286 0.8938
Sr: 0.8034 0.2822 0.3867
Sr: 0.5283 0.3714 0.6062
Sr: 0.6284 0.9735 0.3551
Sr: 0.6966 0.7822 0.6133
Cr: 0.6947 0.5984 0.8888
Cr: 0.8053 0.5984 0.3888
Cr: 0.3053 0.9016 0.3888
Cr: 0.1947 0.4016 0.6112
Cr: 0.8053 0.0984 0.1112
Cr: 0.1947 0.9016 0.8888
Cr: 0.3053 0.4016 0.1112
Cr: 0.6947 0.0984 0.6112

Computed properties:
Energy in eV/atom: -7.279
ρ in g cm⁻³: 4.61

Entry 5:
# SmGa4Co

A relaxed structure of SmGa4Co (GGA-PBEsol, Alexandria).

abc: 4.0720 6.3630 8.0150
angles: 90.00 104.72 90.00
Fractional positions:
Sm: 0.3832 0.7500 0.7665
Sm: 0.6168 0.2500 0.2335
Ga: 0.8108 0.4491 0.6215
Ga: 0.1892 0.5509 0.3785
Ga: 0.0000 0.0000 0.0000
Ga: 0.1892 0.9491 0.3785
Ga: 0.5748 0.7500 0.1496
Ga: 0.4252 0.2500 0.8504
Ga: 0.0000 0.5000 0.0000
Ga: 0.8108 0.0509 0.6215
Co: 0.7226 0.7500 0.4451
Co: 0.2774 0.2500 0.5549

Computed properties:
Energy in eV/atom: -4.927
Formation energy in eV/atom: -0.56
ρ in g cm⁻³: 8.07

Entry 6:
# Mg2ZrNi2

A relaxed structure of Mg2ZrNi2 (GGA-PBEsol, Alexandria).

abc: 3.6959 3.6959 6.4584
angles: 106.63 106.63 90.00
Fractional positions:
Mg: 0.2500 0.7500 0.5000
Mg: 0.7500 0.2500 0.5000
Zr: 0.0000 0.0000 0.0000
Ni: 0.5946 0.5946 0.1892
Ni: 0.4054 0.4054 0.8108

Computed properties:
Energy in eV/atom: -5.008
Formation energy in eV/atom: -0.04
ρ in g cm⁻³: 5.29

Entry 7:
# ScCdAs

A relaxed structure of ScCdAs (GGA-PBEsol, Alexandria).

abc: 3.5955 3.5955 5.5097
angles: 109.04 109.04 90.00
Fractional positions:
Cd: 0.6689 0.6689 0.3378
As: 0.9653 0.9653 0.9306
Sc: 0.3658 0.3658 0.7317

Computed properties:
Energy in eV/atom: -4.738
Formation energy in eV/atom: -0.43
ρ in g cm⁻³: 6.10

Entry 8:
# Li2WAu

A relaxed structure of Li2WAu (GGA-PBEsol, Alexandria).

abc: 2.7114 2.7114 8.3256
angles: 90.00 90.00 90.00
Fractional positions:
Li: 0.0000 0.0000 0.9835
Li: 0.5000 0.5000 0.2560
W: 0.0000 0.0000 0.4993
Au: 0.5000 0.5000 0.7611

Computed properties:
Energy in eV/atom: -5.234
Formation energy in eV/atom: 0.18
ρ in g cm⁻³: 10.71

Entry 9:
# KHoO2

A relaxed structure of KHoO2 (GGA-PBEsol, Alexandria).

abc: 3.4159 3.4159 6.4613
angles: 74.67 74.67 60.00
Fractional positions:
Ho: 0.5000 0.5000 0.5000
K: 0.0000 0.0000 0.0000
O: 0.2286 0.2286 0.3143
O: 0.7714 0.7714 0.6857

Computed properties:
Energy in eV/atom: -6.977
ρ in g cm⁻³: 6.30

Entry 10:
# Cd2InTe

A relaxed structure of Cd2InTe (GGA-PBEsol, Alexandria).

abc: 3.9435 3.9435 6.4179
angles: 90.00 90.00 90.00
Fractional positions:
Te: 0.5000 0.5000 0.7445
Cd: 0.5000 0.5000 0.2343
Cd: 0.0000 0.0000 0.0196
In: 0.0000 0.0000 0.5016

Computed properties:
Energy in eV/atom: -2.208
ρ in g cm⁻³: 7.77

Entry 11:
# CsBa2NaAu

A relaxed structure of CsBa2NaAu (GGA-PBEsol, Alexandria).

abc: 6.3477 6.3477 6.8525
angles: 90.00 90.00 90.00
Fractional positions:
Ba: 0.0000 0.5000 0.0000
Ba: 0.5000 0.0000 0.0000
Na: 0.5000 0.5000 0.5000
Au: 0.0000 0.0000 0.0000
Cs: 0.0000 0.0000 0.5000

Computed properties:
Energy in eV/atom: -2.258
Formation energy in eV/atom: -0.15
ρ in g cm⁻³: 3.77

Entry 12:
# CoNiAu4

A relaxed structure of CoNiAu4 (GGA-PBEsol, Alexandria).

abc: 5.2694 5.2694 5.2694
angles: 60.00 60.00 60.00
Last column: magnetic moment on the atom in μB.
Fractional positions:
Au: 0.6250 0.6250 0.6250  0.00
Au: 0.6250 0.1249 0.6250  0.00
Au: 0.6250 0.6250 0.1249  0.00
Au: 0.1249 0.6250 0.6250  0.00
Co: 0.2500 0.2500 0.2500  2.04
Ni: 0.0000 0.0000 0.0000  0.63

Computed properties:
Energy in eV/atom: -4.260
Formation energy in eV/atom: 0.67
ρ in g cm⁻³: 14.53

Entry 13:
# Sb3PBr

A relaxed structure of Sb3PBr (GGA-PBEsol, Alexandria).

abc: 5.3889 5.3889 5.3889
angles: 90.00 90.00 90.00
Fractional positions:
P: 0.5000 0.5000 0.5000
Sb: 0.0000 0.5000 0.0000
Sb: 0.5000 0.0000 0.0000
Sb: 0.0000 0.0000 0.5000
Br: 0.0000 0.0000 0.0000

Computed properties:
Energy in eV/atom: -2.895
ρ in g cm⁻³: 5.05

Entry 14:
# ErH3

A relaxed structure of ErH3 (GGA-PBEsol, Alexandria).

abc: 3.5329 3.5329 3.5329
angles: 60.00 60.00 60.00
Fractional positions:
H: 0.7500 0.7500 0.7500
H: 0.2500 0.2500 0.2500
H: 0.5000 0.5000 0.5000
Er: 0.0000 0.0000 0.0000

Computed properties:
Energy in eV/atom: -4.313
ρ in g cm⁻³: 9.07

Entry 15:
# FeCo2Se

A relaxed structure of FeCo2Se (GGA-PBEsol, Alexandria).

abc: 4.0225 4.0225 4.0225
angles: 60.00 60.00 60.00
Last column: magnetic moment on the atom in μB.
Fractional positions:
Fe: 0.5000 0.5000 0.5000  1.95
Co: 0.0000 0.0000 0.0000  1.21
Co: 0.7500 0.7500 0.7500  1.39
Se: 0.2500 0.2500 0.2500  0.00

Computed properties:
Energy in eV/atom: -6.855
ρ in g cm⁻³: 9.12

Entry 16:
# CuP2SO

A relaxed structure of CuP2SO (GGA-PBEsol, Alexandria).

abc: 3.5348 4.5192 4.5192
angles: 90.00 90.00 90.00
Fractional positions:
Cu: 0.0000 0.0000 0.0000
P: 0.0000 0.0000 0.5000
P: 0.0000 0.5000 0.0000
S: 0.5000 0.5000 0.5000
O: 0.5000 0.0000 0.0000

Computed properties:
Energy in eV/atom: -4.538
ρ in g cm⁻³: 3.99

Entry 17:
# CaMgPb2

A relaxed structure of CaMgPb2 (GGA-PBEsol, Alexandria).

abc: 3.5428 5.4836 6.3049
angles: 109.92 106.32 90.00
Fractional positions:
Pb: 0.7499 0.3386 0.4997
Pb: 0.0015 0.9164 0.0031
Mg: 0.2524 0.8305 0.5048
Ca: 0.4962 0.4144 0.9924

Computed properties:
Energy in eV/atom: -3.253
Formation energy in eV/atom: -0.29
ρ in g cm⁻³: 7.23

Entry 18:
# TcSeS2Cl

A relaxed structure of TcSeS2Cl (GGA-PBEsol, Alexandria).

abc: 4.5325 4.5325 4.6407
angles: 90.00 90.00 90.00
Fractional positions:
Tc: 0.0000 0.0000 0.0000
Cl: 0.0000 0.0000 0.5000
Se: 0.5000 0.5000 0.5000
S: 0.5000 0.0000 0.0000
S: 0.0000 0.5000 0.0000

Computed properties:
Energy in eV/atom: -4.941
ρ in g cm⁻³: 4.82

Entry 19:
# YTlSe2

A relaxed structure of YTlSe2 (GGA-PBEsol, Alexandria).

abc: 4.1933 4.1933 5.9146
angles: 90.00 90.00 90.00
Fractional positions:
Se: 0.0000 0.0000 0.5000
Se: 0.5000 0.5000 0.0000
Tl: 0.0000 0.0000 0.0000
Y: 0.5000 0.5000 0.5000

Computed properties:
Energy in eV/atom: -5.409
ρ in g cm⁻³: 7.20

Entry 20:
# YZr2Co

A relaxed structure of YZr2Co (GGA-PBEsol, Alexandria).

abc: 3.2604 5.3136 5.6972
angles: 117.00 106.63 90.00
Fractional positions:
Y: 0.2022 0.7518 0.4044
Co: 0.4859 0.3634 0.9719
Zr: 0.8070 0.3581 0.6140
Zr: 0.0049 0.0267 0.0097

Computed properties:
Energy in eV/atom: -8.235
Formation energy in eV/atom: -0.05
ρ in g cm⁻³: 6.59